VASP calculation (meta-GGA SCAN) on a crystal of GdTlS2 relaxed with PBEsol.

a = 7.6914 Å, b = 7.6914 Å, c = 7.6914 Å
α = 30.13°, β = 30.13°, γ = 30.13°
Atoms (fractional coordinates):
1 Gd 0.0000 0.0000 0.0000
2 Tl 0.5000 0.5000 0.5000
3 S 0.2656 0.2656 0.2656
4 S 0.7344 0.7344 0.7344

* E_form (uncorrected): -1.638 eV per atom
* crystal system: trigonal
* DOS(E_F): 0.00 states/eV/f.u.